Entry 1:
VASP calculation (PBE-GGA) on a geometry-optimized PmDyMgMn structure.

Values from the calculation:
The calculation puts the energy of formation at 2.5 kcal/mol of atoms. The value obtained for the density of states at the Fermi level is 4.95 states/eV per cell. The total moment is 3.2 μB/cell. For the volume, the calculation gives 102.01 Å³ per cell. Its space-group type is F-43m, No. 216.

Cell lengths 5.2447, 5.2447, 5.2447 Å; angles 60.00, 60.00, 60.00 degrees
Element x y z (fractional)
Pm  0.0000  0.0000  0.0000
Dy  0.5000  0.5000  0.5000
Mg  0.7500  0.7500  0.7500
Mn  0.2500  0.2500  0.2500

Entry 2:
VASP calculation (PBE-GGA) on a geometry-optimized PrDyMgMn structure.

Values from the calculation:
The calculation puts the energy of formation at 2.7 kcal/mol of atoms. The value obtained for the density of states at the Fermi level is 5.14 states/eV per cell. The total moment is 3.2 μB/cell. For the volume, the calculation gives 104.43 Å³ per cell. Its space-group type is F-43m, No. 216.

Cell lengths 5.2858, 5.2858, 5.2858 Å; angles 60.00, 60.00, 60.00 degrees
Element x y z (fractional)
Pr  0.0000  0.0000  0.0000
Dy  0.5000  0.5000  0.5000
Mg  0.2500  0.2500  0.2500
Mn  0.7500  0.7500  0.7500

Entry 3:
VASP calculation (PBE-GGA) on a geometry-optimized Dy3Mg2MnS8 structure.

Values from the calculation:
The total moment is 4.0 μB/cell. For the volume, the calculation gives 331.43 Å³ per cell. Its space-group type is C2/m, No. 12. The value obtained for the formation energy (no corrections) is -1563.2 meV per atom.

Cell lengths 7.7536, 7.7536, 7.6390 Å; angles 118.56, 118.56, 59.93 degrees
Element x y z (fractional)
Dy  0.0000  0.0000  0.0000
Dy  0.0000  0.5000  0.5000
Dy  0.5000  0.0000  0.5000
Mg  0.3797  0.3797  0.1354
Mg  0.6203  0.6203  0.8646
Mn  0.0000  0.0000  0.5000
S  0.2215  0.7703  0.7188
S  0.2297  0.7785  0.2812
S  0.2405  0.2405  0.2450
S  0.2532  0.2532  0.7496
S  0.7468  0.7468  0.2504
S  0.7595  0.7595  0.7550
S  0.7703  0.2215  0.7188
S  0.7785  0.2297  0.2812

Entry 4:
VASP calculation (PBE-GGA) on a geometry-optimized TbDyMgMn structure.

Values from the calculation:
The calculation puts the energy of formation at 2.2 kcal/mol of atoms. The value obtained for the density of states at the Fermi level is 4.87 states/eV per cell. The total moment is 3.2 μB/cell. For the volume, the calculation gives 98.75 Å³ per cell. Its space-group type is F-43m, No. 216.

Cell lengths 5.1881, 5.1881, 5.1881 Å; angles 60.00, 60.00, 60.00 degrees
Element x y z (fractional)
Tb  0.0000  0.0000  0.0000
Dy  0.5000  0.5000  0.5000
Mg  0.2500  0.2500  0.2500
Mn  0.7500  0.7500  0.7500

Entry 5:
VASP calculation (PBE-GGA) on a geometry-optimized DyYMgMn structure.

Values from the calculation:
The calculation puts the energy of formation at 2.1 kcal/mol of atoms. The value obtained for the density of states at the Fermi level is 5.12 states/eV per cell. The total moment is 3.2 μB/cell. For the volume, the calculation gives 98.84 Å³ per cell. Its space-group type is F-43m, No. 216.

Cell lengths 5.1898, 5.1898, 5.1898 Å; angles 60.00, 60.00, 60.00 degrees
Element x y z (fractional)
Dy  0.0000  0.0000  0.0000
Y  0.5000  0.5000  0.5000
Mg  0.2500  0.2500  0.2500
Mn  0.7500  0.7500  0.7500

Entry 6:
VASP calculation (PBE-GGA) on a geometry-optimized DyMgZrMn structure.

Values from the calculation:
The calculation puts the energy of formation at 3.6 kcal/mol of atoms. The value obtained for the density of states at the Fermi level is 4.68 states/eV per cell. The total moment is 2.0 μB/cell. For the volume, the calculation gives 86.65 Å³ per cell. Its space-group type is F-43m, No. 216.

Cell lengths 4.9669, 4.9669, 4.9669 Å; angles 60.00, 60.00, 60.00 degrees
Element x y z (fractional)
Dy  0.0000  0.0000  0.0000
Mg  0.2500  0.2500  0.2500
Zr  0.5000  0.5000  0.5000
Mn  0.7500  0.7500  0.7500

Question: Number 1 is which compound?
Answer: PmDyMgMn